Entry 1:
{
  "formula": "Sm2DyHo2Tm2",
  "functional": "GGA-PBE",
  "state": "relaxed",
  "formation_enthalpy_0k_ev_per_atom": 0.161,
  "n_ef_per_ev_cell": 13.076,
  "volume_a3_per_fu": 228,
  "sg": "C2/m, No. 12",
  "lattice": [[5.691, -1.734, 0.000], [5.691, 1.734, 0.000], [-2.344, 0.000, 11.524]],
  "species": ["Sm", "Sm", "Dy", "Ho", "Ho", "Tm", "Tm"],
  "frac_coords": [[0.205, 0.205, 0.369], [0.795, 0.795, 0.631], [0.500, 0.500, 0.500], [0.155, 0.155, 0.073], [0.845, 0.845, 0.927], [0.092, 0.092, 0.775], [0.908, 0.908, 0.225]]
}

***

Entry 2:
{
  "formula": "Sm2Dy4HoTm",
  "functional": "GGA-PBE",
  "state": "relaxed",
  "formation_enthalpy_0k_ev_per_atom": 0.435,
  "n_ef_per_ev_cell": 34.084,
  "volume_a3_per_fu": 264,
  "sg": "Imma, No. 74",
  "lattice": [[-3.392, 5.880, 6.624], [3.392, -5.880, 6.624], [3.392, 5.880, -6.624]],
  "species": ["Sm", "Sm", "Sm", "Sm", "Dy", "Dy", "Dy", "Dy", "Dy", "Dy", "Dy", "Dy", "Ho", "Ho", "Tm", "Tm"],
  "frac_coords": [[0.000, 0.000, 0.000], [0.500, 0.000, 0.000], [0.500, 0.000, 0.500], [0.500, 0.500, 0.500], [0.245, 0.748, 0.497], [0.246, 0.247, 0.501], [0.246, 0.745, 0.999], [0.248, 0.252, 0.997], [0.752, 0.748, 0.003], [0.754, 0.255, 0.001], [0.754, 0.753, 0.499], [0.755, 0.252, 0.503], [0.000, 0.500, 0.500], [0.500, 0.500, 0.000], [0.000, 0.000, 0.500], [0.000, 0.500, 0.000]]
}

***

Entry 3:
{
  "formula": "Sm2Dy6Ho3Tm",
  "functional": "GGA-PBE",
  "state": "relaxed",
  "formation_enthalpy_0k_ev_per_atom": 0.017,
  "n_ef_per_ev_cell": 15.294,
  "volume_a3_per_fu": 378,
  "sg": "C2/m, No. 12",
  "lattice": [[3.071, -5.315, 0.000], [3.071, 5.315, 0.000], [-2.035, 0.000, 11.579]],
  "species": ["Sm", "Sm", "Dy", "Dy", "Dy", "Dy", "Dy", "Dy", "Ho", "Ho", "Ho", "Tm"],
  "frac_coords": [[0.167, 0.833, 0.000], [0.833, 0.167, 0.000], [0.083, 0.416, 0.748], [0.252, 0.252, 0.252], [0.416, 0.083, 0.748], [0.584, 0.917, 0.252], [0.748, 0.748, 0.748], [0.917, 0.584, 0.252], [0.000, 0.000, 0.500], [0.334, 0.666, 0.500], [0.666, 0.334, 0.500], [0.500, 0.500, 0.000]]
}

***

Entry 4:
{
  "formula": "Sm2Dy2HoTm",
  "functional": "GGA-PBE",
  "state": "relaxed",
  "formation_enthalpy_0k_ev_per_atom": 0.270,
  "n_ef_per_ev_cell": 18.910,
  "volume_a3_per_fu": 196,
  "sg": "Pnnm, No. 58",
  "lattice": [[6.551, 0.000, 0.000], [0.000, 17.822, 0.000], [0.000, 0.000, 3.366]],
  "species": ["Sm", "Sm", "Sm", "Sm", "Dy", "Dy", "Dy", "Dy", "Ho", "Ho", "Tm", "Tm"],
  "frac_coords": [[0.232, 0.184, 0.000], [0.268, 0.684, 0.500], [0.732, 0.316, 0.500], [0.768, 0.816, 0.000], [0.229, 0.354, 0.500], [0.271, 0.854, 0.000], [0.729, 0.146, 0.000], [0.771, 0.646, 0.500], [0.000, 0.500, 0.000], [0.500, 0.000, 0.500], [0.000, 0.000, 0.000], [0.500, 0.500, 0.500]]
}

***

Entry 5:
{
  "formula": "SmDyHo2Tm4",
  "functional": "GGA-PBE",
  "state": "relaxed",
  "formation_enthalpy_0k_ev_per_atom": 0.024,
  "n_ef_per_ev_cell": 11.132,
  "volume_a3_per_fu": 246,
  "sg": "P4/mmm, No. 123",
  "lattice": [[4.979, 0.000, 0.000], [0.000, 4.979, 0.000], [0.000, 0.000, 9.940]],
  "species": ["Sm", "Dy", "Ho", "Ho", "Tm", "Tm", "Tm", "Tm"],
  "frac_coords": [[0.000, 0.000, 0.000], [0.500, 0.500, 0.500], [0.000, 0.000, 0.500], [0.500, 0.500, 0.000], [0.000, 0.500, 0.251], [0.000, 0.500, 0.749], [0.500, 0.000, 0.251], [0.500, 0.000, 0.749]]
}

***

Entry 6:
{
  "formula": "Sm2DyHo2Tm",
  "functional": "GGA-PBE",
  "state": "relaxed",
  "formation_enthalpy_0k_ev_per_atom": 0.152,
  "n_ef_per_ev_cell": 19.568,
  "volume_a3_per_fu": 196,
  "sg": "Pnnm, No. 58",
  "lattice": [[6.945, 0.000, 0.000], [0.000, 16.265, 0.000], [0.000, 0.000, 3.464]],
  "species": ["Sm", "Sm", "Sm", "Sm", "Dy", "Dy", "Ho", "Ho", "Ho", "Ho", "Tm", "Tm"],
  "frac_coords": [[0.249, 0.159, 0.000], [0.251, 0.659, 0.500], [0.749, 0.341, 0.500], [0.751, 0.841, 0.000], [0.000, 0.500, 0.000], [0.500, 0.000, 0.500], [0.249, 0.347, 0.500], [0.251, 0.847, 0.000], [0.749, 0.153, 0.000], [0.751, 0.653, 0.500], [0.000, 0.000, 0.500], [0.500, 0.500, 0.000]]
}

***

Entry 7:
{
  "formula": "SmDy5HoTm2",
  "functional": "GGA-PBE",
  "state": "relaxed",
  "formation_enthalpy_0k_ev_per_atom": 0.161,
  "n_ef_per_ev_cell": 29.269,
  "volume_a3_per_fu": 289,
  "sg": "Cmc2_1, No. 36",
  "lattice": [[2.787, -9.876, 0.000], [2.787, 9.876, 0.000], [0.000, 0.000, 10.508]],
  "species": ["Sm", "Sm", "Dy", "Dy", "Dy", "Dy", "Dy", "Dy", "Dy", "Dy", "Dy", "Dy", "Ho", "Ho", "Tm", "Tm", "Tm", "Tm"],
  "frac_coords": [[0.085, 0.915, 0.500], [0.915, 0.085, 0.000], [0.021, 0.979, 0.785], [0.112, 0.888, 0.071], [0.201, 0.799, 0.756], [0.219, 0.781, 0.359], [0.482, 0.518, 0.071], [0.518, 0.482, 0.571], [0.781, 0.219, 0.859], [0.799, 0.201, 0.256], [0.888, 0.112, 0.571], [0.979, 0.021, 0.285], [0.301, 0.699, 0.059], [0.699, 0.301, 0.559], [0.386, 0.614, 0.365], [0.389, 0.611, 0.784], [0.611, 0.389, 0.284], [0.614, 0.386, 0.865]]
}

***

Entry 8:
{
  "formula": "SmDyHoTm2",
  "functional": "GGA-PBE",
  "state": "relaxed",
  "formation_enthalpy_0k_ev_per_atom": 0.391,
  "n_ef_per_ev_cell": 13.568,
  "volume_a3_per_fu": 169,
  "sg": "Cmcm, No. 63",
  "lattice": [[4.159, -5.685, 0.000], [4.159, 5.685, 0.000], [0.000, 0.000, 7.156]],
  "species": ["Sm", "Sm", "Dy", "Dy", "Ho", "Ho", "Tm", "Tm", "Tm", "Tm"],
  "frac_coords": [[0.227, 0.773, 0.750], [0.773, 0.227, 0.250], [0.500, 0.500, 0.250], [0.500, 0.500, 0.750], [0.221, 0.779, 0.250], [0.779, 0.221, 0.750], [0.189, 0.189, 0.000], [0.189, 0.189, 0.500], [0.811, 0.811, 0.000], [0.811, 0.811, 0.500]]
}

***

Entry 9:
{
  "formula": "Sm2DyHo3Tm6",
  "functional": "GGA-PBE",
  "state": "relaxed",
  "formation_enthalpy_0k_ev_per_atom": 0.022,
  "n_ef_per_ev_cell": 16.235,
  "volume_a3_per_fu": 370,
  "sg": "C2/m, No. 12",
  "lattice": [[3.055, -5.285, 0.000], [3.055, 5.285, 0.000], [-2.029, 0.000, 11.468]],
  "species": ["Sm", "Sm", "Dy", "Ho", "Ho", "Ho", "Tm", "Tm", "Tm", "Tm", "Tm", "Tm"],
  "frac_coords": [[0.167, 0.833, 0.000], [0.833, 0.167, 0.000], [0.500, 0.500, 0.000], [0.000, 0.000, 0.500], [0.333, 0.667, 0.500], [0.667, 0.333, 0.500], [0.083, 0.416, 0.748], [0.252, 0.252, 0.252], [0.416, 0.083, 0.748], [0.584, 0.917, 0.252], [0.748, 0.748, 0.748], [0.917, 0.584, 0.252]]
}

***

Entry 10:
{
  "formula": "SmDy2HoTm",
  "functional": "GGA-PBE",
  "state": "relaxed",
  "formation_enthalpy_0k_ev_per_atom": 0.401,
  "n_ef_per_ev_cell": 14.476,
  "volume_a3_per_fu": 171,
  "sg": "Cmcm, No. 63",
  "lattice": [[4.177, -5.697, 0.000], [4.177, 5.697, 0.000], [0.000, 0.000, 7.182]],
  "species": ["Sm", "Sm", "Dy", "Dy", "Dy", "Dy", "Ho", "Ho", "Tm", "Tm"],
  "frac_coords": [[0.227, 0.773, 0.750], [0.773, 0.227, 0.250], [0.191, 0.191, 0.000], [0.191, 0.191, 0.500], [0.809, 0.809, 0.000], [0.809, 0.809, 0.500], [0.499, 0.501, 0.750], [0.501, 0.499, 0.250], [0.223, 0.777, 0.250], [0.777, 0.223, 0.750]]
}

***

Entry 11:
{
  "formula": "Sm4DyHo2Tm",
  "functional": "GGA-PBE",
  "state": "relaxed",
  "formation_enthalpy_0k_ev_per_atom": 0.018,
  "n_ef_per_ev_cell": 10.642,
  "volume_a3_per_fu": 257,
  "sg": "P2/m, No. 10",
  "lattice": [[6.191, 0.000, 0.000], [0.000, 3.580, 0.000], [-2.084, 0.000, 11.615]],
  "species": ["Sm", "Sm", "Sm", "Sm", "Dy", "Ho", "Ho", "Tm"],
  "frac_coords": [[0.250, 0.000, 0.249], [0.250, 0.500, 0.751], [0.750, 0.000, 0.751], [0.750, 0.500, 0.249], [0.000, 0.000, 0.500], [0.500, 0.000, 0.000], [0.500, 0.500, 0.500], [0.000, 0.500, 0.000]]
}

***

Entry 12:
{
  "formula": "Sm4Dy2HoTm2",
  "functional": "GGA-PBE",
  "state": "relaxed",
  "formation_enthalpy_0k_ev_per_atom": 0.021,
  "n_ef_per_ev_cell": 12.766,
  "volume_a3_per_fu": 288,
  "sg": "C2/m, No. 12",
  "lattice": [[7.572, -2.519, 0.000], [7.572, 2.519, 0.000], [-2.522, 0.000, 7.562]],
  "species": ["Sm", "Sm", "Sm", "Sm", "Dy", "Dy", "Ho", "Tm", "Tm"],
  "frac_coords": [[0.054, 0.054, 0.331], [0.278, 0.278, 0.668], [0.722, 0.722, 0.332], [0.946, 0.946, 0.669], [0.389, 0.389, 0.331], [0.611, 0.611, 0.669], [0.500, 0.500, 0.000], [0.167, 0.167, 0.000], [0.833, 0.833, 0.000]]
}

***

Copy entry 12 word for word.
{
  "formula": "Sm4Dy2HoTm2",
  "functional": "GGA-PBE",
  "state": "relaxed",
  "formation_enthalpy_0k_ev_per_atom": 0.021,
  "n_ef_per_ev_cell": 12.766,
  "volume_a3_per_fu": 288,
  "sg": "C2/m, No. 12",
  "lattice": [[7.572, -2.519, 0.000], [7.572, 2.519, 0.000], [-2.522, 0.000, 7.562]],
  "species": ["Sm", "Sm", "Sm", "Sm", "Dy", "Dy", "Ho", "Tm", "Tm"],
  "frac_coords": [[0.054, 0.054, 0.331], [0.278, 0.278, 0.668], [0.722, 0.722, 0.332], [0.946, 0.946, 0.669], [0.389, 0.389, 0.331], [0.611, 0.611, 0.669], [0.500, 0.500, 0.000], [0.167, 0.167, 0.000], [0.833, 0.833, 0.000]]
}